1.
First-principles (PBE) data for SrCl after structural relaxation, as listed in the Alexandria database.

Results
The value obtained for the density of states at the Fermi level is 0.619 states/eV/atom. Its total energy is -13.75 eV/cell. As for the space group: Pmm2.

Cell and atoms, written as extended XYZ:
```
4
Lattice="-2.2597 3.3904 0.8612 -2.1252 -2.1746 2.9843 5.3605 2.1965 5.4178" Properties=species:S:1:pos:R:3 pbc="T T T"
Sr 1.6172 0.6627 1.6345
Sr 2.4389 2.5057 6.6037
Cl 2.0372 0.1829 4.6251
Cl 4.9235 2.0175 4.9762
```

2.
First-principles (PBE) data for Sm2ScPaSb4 after structural relaxation, as listed in the Alexandria database.

Results
The value obtained for the density of states at the Fermi level is 0.798 states/eV/atom. Its total energy is -49.14 eV/cell. As for the space group: P2/m.

Cell and atoms, written as extended XYZ:
```
8
Lattice="-0.6568 -0.6034 -4.2865 5.5851 -5.0496 -0.1449 -6.5638 -3.5283 1.5023" Properties=species:S:1:pos:R:3 pbc="T T T"
Sm -3.6103 -2.0659 -1.3921
Sm -0.4894 -4.2890 0.6787
Sc 0.0000 0.0000 0.0000
Pa 2.4642 -2.8265 -2.2157
Sb -0.5263 -2.3328 -1.8270
Sb -1.1092 -6.8485 -1.1021
Sb -3.6141 -3.9298 1.1069
Sb 2.6353 -4.6481 0.2505
```

3.
First-principles (PBE) data for Ca2AgHg5 after structural relaxation, as listed in the Alexandria database.

Results
The value obtained for the density of states at the Fermi level is 0.532 states/eV/atom. As for the space group: Cmcm. Its energy relative to the elements is -295 meV/atom.

Cell and atoms, written as extended XYZ:
```
16
Lattice="-2.0826 -1.6242 2.9096 4.4182 -8.3425 -4.1478 8.1354 1.1063 6.4406" Properties=species:S:1:pos:R:3 pbc="T T T"
Ca 7.2424 -5.8982 4.5450
Ca 3.2285 -2.9621 0.6574
Ca 0.0000 0.0000 0.0000
Ca 4.0677 0.5531 3.2203
Ag 9.1461 -7.4240 2.4025
Ag 1.3248 -1.4364 2.7999
Hg 8.7261 -2.9947 4.5743
Hg 1.7449 -5.8657 0.6281
Hg 6.4144 -3.3090 2.7441
Hg 4.0566 -5.5513 2.4583
Hg 10.4869 -5.7717 4.2844
Hg -0.0159 -3.0886 0.9180
Hg 6.7727 -6.2768 1.3440
Hg 3.6982 -2.5835 3.8584
Hg 5.6671 -1.6276 5.8013
Hg 4.8039 -7.2328 -0.5989
```

4.
First-principles (PBE) data for LiInH3 after structural relaxation, as listed in the Alexandria database.

Results
The value obtained for the density of states at the Fermi level is 0.159 states/eV/atom. Its total energy is -13.52 eV/cell. As for the space group: Pm-3m.

Cell and atoms, written as extended XYZ:
```
5
Lattice="4.0872 0.0000 0.0000 0.0000 4.0872 0.0000 0.0000 0.0000 4.0872" Properties=species:S:1:pos:R:3 pbc="T T T"
H 0.0000 2.0436 0.0000
H 0.0000 0.0000 2.0436
H 2.0436 0.0000 0.0000
Li 2.0436 2.0436 2.0436
In 0.0000 0.0000 0.0000
```

5.
First-principles (PBE) data for BeCdP3 after structural relaxation, as listed in the Alexandria database.

Results
The value obtained for the density of states at the Fermi level is 0.929 states/eV/atom. As for the space group: Pm-3m. Its energy relative to the elements is 1761 meV/atom.

Cell and atoms, written as extended XYZ:
```
5
Lattice="-3.0446 2.5522 2.9074 -3.1637 0.4868 -3.7404 -2.2266 -4.1815 1.3391" Properties=species:S:1:pos:R:3 pbc="T T T"
P -1.5818 0.2434 -1.8702
P -1.1133 -2.0908 0.6695
P -1.5223 1.2761 1.4537
Be -4.2174 -0.5712 0.2530
Cd 0.0000 0.0000 0.0000
```

6.
First-principles (PBE) data for TbSc2AgC after structural relaxation, as listed in the Alexandria database.

Results
The value obtained for the density of states at the Fermi level is 0.671 states/eV/atom. As for the space group: P4/mmm. Its energy relative to the elements is -335 meV/atom.

Cell and atoms, written as extended XYZ:
```
5
Lattice="-3.9447 1.6259 -1.3888 1.2747 -0.5517 -4.2666 -1.9331 -4.6679 0.0259" Properties=species:S:1:pos:R:3 pbc="T T T"
Tb 0.3084 -2.8849 -4.2535
Sc -1.2955 -4.9432 -2.1073
Sc -2.6305 -4.4061 -4.9349
Ag -2.3022 -1.7986 -2.8149
C -0.0001 -0.0002 0.0000
```

7.
First-principles (PBE) data for ReSiRu after structural relaxation, as listed in the Alexandria database.

Results
The value obtained for the density of states at the Fermi level is 0.574 states/eV/atom. Its total energy is -27.68 eV/cell. As for the space group: P3m1.

Cell and atoms, written as extended XYZ:
```
3
Lattice="4.1575 0.0000 0.0000 -2.0788 3.6005 0.0000 0.0000 0.0000 2.7539" Properties=species:S:1:pos:R:3 pbc="T T T"
Re 0.0000 0.0000 2.7523
Ru 0.0000 2.4004 1.3744
Si 2.0788 1.2002 1.3811
```

8.
First-principles (PBE) data for Ac3Cd3Pd8 after structural relaxation, as listed in the Alexandria database.

Results
The value obtained for the density of states at the Fermi level is 0.449 states/eV/atom. As for the space group: Immm. Its energy relative to the elements is -604 meV/atom.

Cell and atoms, written as extended XYZ:
```
14
Lattice="-2.3180 -0.4471 3.8465 2.9246 -7.5561 3.5319 5.9741 1.2496 6.3931" Properties=species:S:1:pos:R:3 pbc="T T T"
Ac 3.2903 -3.3768 6.8857
Ac 0.0204 -1.6686 5.1137
Ac 6.5603 -5.0850 8.6578
Cd -1.1590 -0.2235 1.9233
Cd 3.5947 -5.6211 4.1606
Cd 5.3040 -0.6855 5.7643
Pd 2.7741 -0.1543 6.9492
Pd 3.8065 -6.5993 6.8223
Pd 1.0422 -5.1553 5.3243
Pd 5.5384 -1.5983 8.4472
Pd 3.6730 -5.8834 9.4727
Pd 2.9076 -0.8702 4.2988
Pd 4.5397 -3.3808 10.2859
Pd 2.0409 -3.3728 3.4856
```

9.
First-principles (PBE) data for Er12InPd6 after structural relaxation, as listed in the Alexandria database.

Results
The value obtained for the density of states at the Fermi level is 0.836 states/eV/atom. As for the space group: R-3. Its energy relative to the elements is -525 meV/atom.

Cell and atoms, written as extended XYZ:
```
19
Lattice="8.5169 -0.8314 -0.9960 -2.1130 8.2925 -0.9960 -2.1130 -2.4618 7.9810" Properties=species:S:1:pos:R:3 pbc="T T T"
Er 4.7835 3.0525 2.9740
Er 1.6280 5.0891 3.5348
Er 2.2920 1.9985 5.6388
Er -0.4925 1.9468 3.0151
Er 2.6630 -0.0898 2.4543
Er 1.9990 3.0008 0.3502
Er -2.2249 6.3051 1.7132
Er -2.2785 3.0915 6.9062
Er 3.4012 7.1138 -0.5207
Er 6.5159 -1.3057 4.2758
Er 6.5695 1.9078 -0.9172
Er 0.8898 -2.1144 6.5097
In 0.0000 0.0000 0.0000
Pd 3.6284 5.0248 1.3279
Pd 4.4372 1.3509 0.8079
Pd -0.1256 4.4698 1.4735
Pd 0.6626 -0.0255 4.6612
Pd -0.1462 3.6484 5.1812
Pd 4.4166 0.5295 4.5155
```

10.
First-principles (PBE) data for BaGe3O8 after structural relaxation, as listed in the Alexandria database.

Results
The value obtained for the density of states at the Fermi level is 0.201 states/eV/atom. Its total energy is -148.32 eV/cell. As for the space group: C2/c.

Cell and atoms, written as extended XYZ:
```
24
Lattice="-1.4088 -2.9803 -6.3167 0.9472 -6.2161 -3.3514 -8.1366 -4.5658 1.4823" Properties=species:S:1:pos:R:3 pbc="T T T"
Ba -3.1055 -4.5852 -5.5215
Ba -5.4927 -9.1770 -2.6643
Ge -3.5947 -5.3909 -0.9345
Ge -0.7044 -1.4902 -3.1584
Ge -5.8304 -4.7921 -2.8245
Ge -0.5077 -4.2320 -1.9868
Ge -2.7679 -8.9701 -5.3613
Ge -8.0906 -9.5302 -6.1990
O -3.0363 -8.2884 -7.1783
O -6.7968 -10.9940 -6.0498
O -4.8734 -10.1630 -7.8290
O -0.4609 -8.3528 -8.1369
O -4.7744 -9.1302 -5.4954
O -1.0856 -6.3260 -6.7143
O -3.8239 -4.6320 -2.6904
O -7.5126 -7.4362 -1.4715
O -5.5619 -5.4739 -1.0075
O -1.8014 -2.7682 -2.1360
O -3.7248 -3.5992 -0.3568
O -8.1373 -5.4094 -0.0489
O -2.7357 -7.2851 -4.6161
O -7.4570 -8.6711 -4.6969
O -5.8625 -6.4772 -3.5697
O -1.1412 -5.0911 -3.4889
```

11.
First-principles (PBE) data for ThSc2S after structural relaxation, as listed in the Alexandria database.

Results
The value obtained for the density of states at the Fermi level is 0.757 states/eV/atom. Its total energy is -27.02 eV/cell. As for the space group: R-3m.

Cell and atoms, written as extended XYZ:
```
4
Lattice="3.4521 0.0000 0.0000 1.7260 2.9896 0.0000 1.7260 0.9965 9.5020" Properties=species:S:1:pos:R:3 pbc="T T T"
Sc 1.7260 0.9965 6.2833
Sc 5.1781 2.9896 3.2187
S 3.4521 1.9931 4.7510
Th 0.0000 0.0000 0.0000
```

12.
First-principles (PBE) data for ScIn2Pd after structural relaxation, as listed in the Alexandria database.

Results
The value obtained for the density of states at the Fermi level is 0.870 states/eV/atom. As for the space group: P4/mmm. Its energy relative to the elements is -472 meV/atom.

Cell and atoms, written as extended XYZ:
```
4
Lattice="4.4223 0.0000 0.0000 0.0000 4.2808 0.0000 0.0000 0.0000 4.2808" Properties=species:S:1:pos:R:3 pbc="T T T"
Sc 2.2111 0.0000 0.0000
Pd 2.2111 2.1404 2.1404
In 0.0000 0.0000 2.1404
In 0.0000 2.1404 0.0000
```

13.
First-principles (PBE) data for LiErIn4 after structural relaxation, as listed in the Alexandria database.

Results
The value obtained for the density of states at the Fermi level is 0.612 states/eV/atom. As for the space group: C2/m. Its energy relative to the elements is -182 meV/atom.

Cell and atoms, written as extended XYZ:
```
6
Lattice="3.2799 0.0000 0.9487 1.8013 5.3725 -0.0835 -0.6472 -1.3301 8.3817" Properties=species:S:1:pos:R:3 pbc="T T T"
Li 0.0000 0.0000 0.0000
Er 2.2170 2.0212 4.6234
In 3.0705 1.5942 7.8168
In 2.7037 4.9004 2.9407
In 1.3635 2.4481 1.4301
In 1.7303 -0.8581 6.3062
```

14.
First-principles (PBE) data for BeTlBr2 after structural relaxation, as listed in the Alexandria database.

Results
The value obtained for the density of states at the Fermi level is 0.428 states/eV/atom. Its total energy is -8.71 eV/cell. As for the space group: Fm-3m.

Cell and atoms, written as extended XYZ:
```
4
Lattice="2.1037 -3.6125 3.3685 -3.0248 -2.1158 3.8982 -1.5285 -5.1389 -0.2783" Properties=species:S:1:pos:R:3 pbc="T T T"
Be 0.0000 0.0000 0.0000
Tl -1.2248 -5.4336 3.4942
Br -0.6124 -2.7168 1.7471
Br -1.8372 -8.1504 5.2413
```

15.
First-principles (PBE) data for TlOs2Pt after structural relaxation, as listed in the Alexandria database.

Results
The value obtained for the density of states at the Fermi level is 0.889 states/eV/atom. As for the space group: Cm. Its energy relative to the elements is 611 meV/atom.

Cell and atoms, written as extended XYZ:
```
4
Lattice="4.8341 0.0024 -0.0073 3.9573 2.7765 -0.0073 0.7395 0.2337 4.9590" Properties=species:S:1:pos:R:3 pbc="T T T"
Os 0.7857 0.2483 4.7214
Os 7.1390 2.2566 3.8545
Pt 4.7159 1.4906 2.4894
Tl 2.3953 0.7571 1.3103
```

16.
First-principles (PBE) data for Ru4Pt2Rh5 after structural relaxation, as listed in the Alexandria database.

Results
The value obtained for the density of states at the Fermi level is 1.320 states/eV/atom. As for the space group: C2/m. Its energy relative to the elements is 287 meV/atom.

Cell and atoms, written as extended XYZ:
```
11
Lattice="-0.0305 2.0094 4.9321 3.7781 -1.5700 3.5385 4.3997 5.6999 0.5805" Properties=species:S:1:pos:R:3 pbc="T T T"
Ru 5.7420 1.8842 5.0188
Ru 2.4053 4.2551 4.0323
Ru 6.4038 5.1375 6.5730
Ru 1.7434 1.0018 2.4781
Pt 6.3064 4.1635 4.0937
Pt 1.8408 1.9757 4.9574
Rh 4.3378 4.7869 2.3889
Rh 3.8094 1.3524 6.6622
Rh 4.0889 2.0650 2.0595
Rh 4.3226 5.7922 4.8566
Rh 3.8246 0.3471 4.1945
```

17.
First-principles (PBE) data for PmZr3Rh2 after structural relaxation, as listed in the Alexandria database.

Results
The value obtained for the density of states at the Fermi level is 0.798 states/eV/atom. As for the space group: C2/m. Its energy relative to the elements is -472 meV/atom.

Cell and atoms, written as extended XYZ:
```
12
Lattice="4.7714 0.0000 0.0000 -2.3857 8.0974 -0.1047 0.0000 -3.7878 7.0114" Properties=species:S:1:pos:R:3 pbc="T T T"
Pm 2.3857 2.1543 6.4968
Pm 0.0000 2.1554 0.4099
Zr 0.0000 2.6789 4.0043
Zr 2.3857 4.8775 4.2228
Zr 2.3857 -1.0079 4.8076
Zr 0.0000 5.3176 2.0991
Zr 0.0000 -0.5679 2.6839
Zr 2.3857 1.6308 2.9024
Rh 0.0000 4.6664 5.6619
Rh 2.3857 -0.3567 1.2448
Rh 2.3857 3.9846 1.6976
Rh 0.0000 0.3250 5.2091
```

18.
First-principles (PBE) data for EuTmHgPd after structural relaxation, as listed in the Alexandria database.

Results
The value obtained for the density of states at the Fermi level is 2.352 states/eV/atom. As for the space group: F-43m. Its energy relative to the elements is -569 meV/atom.

Cell and atoms, written as extended XYZ:
```
4
Lattice="-0.5770 -2.4476 4.5141 1.3176 -4.9782 0.4266 4.1565 -1.3452 2.7594" Properties=species:S:1:pos:R:3 pbc="T T T"
Eu 2.4486 -4.3855 3.8500
Tm 0.0000 0.0000 0.0000
Hg 3.6729 -6.5782 5.7750
Pd 1.2243 -2.1927 1.9250
```

19.
First-principles (PBE) data for CrBr2N after structural relaxation, as listed in the Alexandria database.

Results
The value obtained for the density of states at the Fermi level is 1.080 states/eV/atom. Its total energy is -14.67 eV/cell. As for the space group: Fm-3m.

Cell and atoms, written as extended XYZ:
```
4
Lattice="0.0000 3.1029 3.1029 3.1029 0.0000 3.1029 3.1029 3.1029 0.0000" Properties=species:S:1:pos:R:3 pbc="T T T"
Cr 3.1029 3.1029 3.1029
Br 1.5514 1.5514 1.5514
Br 4.6543 4.6543 4.6543
N 0.0000 0.0000 0.0000
```

20.
First-principles (PBE) data for K2NaPPd after structural relaxation, as listed in the Alexandria database.

Results
The value obtained for the density of states at the Fermi level is 0.628 states/eV/atom. As for the space group: P4/mmm. Its energy relative to the elements is -142 meV/atom.

Cell and atoms, written as extended XYZ:
```
5
Lattice="6.4042 0.0000 0.0000 0.0000 6.4042 0.0000 0.0000 0.0000 4.4606" Properties=species:S:1:pos:R:3 pbc="T T T"
P 0.0000 0.0000 2.2303
K 0.0000 3.2021 0.0000
K 3.2021 0.0000 0.0000
Pd 0.0000 0.0000 0.0000
Na 3.2021 3.2021 2.2303
```

21.
First-principles (PBE) data for ZnSi2S4 after structural relaxation, as listed in the Alexandria database.

Results
The value obtained for the density of states at the Fermi level is 0.000 states/eV/atom. Its total energy is -31.65 eV/cell. As for the space group: I4/m.

Cell and atoms, written as extended XYZ:
```
7
Lattice="6.8349 -0.8011 0.0000 -3.9930 5.6048 0.0000 -1.4210 -2.4018 6.2905" Properties=species:S:1:pos:R:3 pbc="T T T"
Zn 1.4210 2.4018 0.0000
Si -1.9965 2.8024 3.1452
Si 3.4175 -0.4006 3.1452
S 1.4212 -0.8408 2.4858
S 4.6955 0.4646 1.6512
S -3.2745 1.9373 4.6392
S -0.0002 3.2426 3.8047
```

22.
First-principles (PBE) data for LaPr3Dy6Th2 after structural relaxation, as listed in the Alexandria database.

Results
The value obtained for the density of states at the Fermi level is 1.324 states/eV/atom. As for the space group: C2/m. Its energy relative to the elements is 21 meV/atom.

Cell and atoms, written as extended XYZ:
```
12
Lattice="6.2764 -0.0003 0.0175 -3.1369 5.4362 0.0175 -1.0818 -1.8732 11.5975" Properties=species:S:1:pos:R:3 pbc="T T T"
La 0.0000 0.0000 0.0000
Pr -2.1103 3.5943 5.8163
Pr 4.1679 -0.0316 5.8163
Pr 1.0288 1.7814 5.8163
Dy 3.1294 1.7326 8.7849
Dy 2.0671 3.5792 2.8675
Dy -1.0718 1.8301 2.8477
Dy -0.0632 3.5765 8.7849
Dy -0.0095 -0.0164 8.7651
Dy 2.1208 -0.0137 2.8477
Th 0.0021 3.6233 0.0175
Th 3.1374 1.8126 0.0175
```

23.
First-principles (PBE) data for ZrCl3 after structural relaxation, as listed in the Alexandria database.

Results
The value obtained for the density of states at the Fermi level is 0.347 states/eV/atom. Its total energy is -41.53 eV/cell. As for the space group: Pmmn.

Cell and atoms, written as extended XYZ:
```
8
Lattice="-2.8785 1.3801 -3.9485 -2.5258 -1.9899 1.1458 -4.8922 10.3454 7.1825" Properties=species:S:1:pos:R:3 pbc="T T T"
Cl -2.2251 0.0709 -1.6177
Cl -4.1861 3.8019 4.3806
Cl -2.7401 -0.1533 1.9440
Cl -6.2504 7.2699 7.0977
Cl -5.0530 6.9483 2.8477
Cl -3.6711 4.0261 0.8189
Zr -0.7861 -0.6193 0.3566
Zr -5.6251 4.4921 2.4063
```